(1)
Here is PmDy2AlO after structural relaxation from Alexandria via LeMat-Bulk. Energies are from PBE-GGA.

Cell: 4.722 4.722 4.902 Å, 90.00 90.00 90.00°
Positions (direct):
Pm 0.000 0.000 0.000
Dy 0.000 0.500 0.500
Dy 0.500 0.000 0.500
Al 0.500 0.500 0.000
O 0.000 0.000 0.500


(2)
Here is Pm12DyAl4O3 after structural relaxation from Alexandria via LeMat-Bulk. Energies are from PBE-GGA.

Cell: 8.777 8.777 8.777 Å, 109.47 109.47 109.47°
Positions (direct):
Pm 0.000 0.274 0.274
Pm 0.000 0.726 0.726
Pm 0.250 0.500 0.750
Pm 0.250 0.750 0.500
Pm 0.274 0.000 0.274
Pm 0.274 0.274 0.000
Pm 0.500 0.250 0.750
Pm 0.500 0.750 0.250
Pm 0.726 0.000 0.726
Pm 0.726 0.726 0.000
Pm 0.750 0.250 0.500
Pm 0.750 0.500 0.250
Dy 0.000 0.000 0.000
Al 0.000 0.000 0.500
Al 0.000 0.500 0.000
Al 0.500 0.000 0.000
Al 0.500 0.500 0.500
O 0.000 0.500 0.500
O 0.500 0.000 0.500
O 0.500 0.500 0.000


(3)
Here is DyPuAlO6 after structural relaxation from Alexandria via LeMat-Bulk. Energies are from PBE-GGA.

Cell: 5.237 5.237 9.803 Å, 90.00 90.00 120.00°
Positions (direct):
Dy 0.000 0.000 0.000
Dy 0.000 0.000 0.500
Pu 0.333 0.667 0.250
Pu 0.667 0.333 0.750
Al 0.333 0.667 0.750
Al 0.667 0.333 0.250
O 0.020 0.365 0.640
O 0.020 0.655 0.860
O 0.345 0.365 0.860
O 0.345 0.980 0.640
O 0.365 0.020 0.140
O 0.365 0.345 0.360
O 0.635 0.655 0.640
O 0.635 0.980 0.860
O 0.655 0.020 0.360
O 0.655 0.635 0.140
O 0.980 0.345 0.140
O 0.980 0.635 0.360


(4)
Here is Rb3DyAl2O6 after structural relaxation from Alexandria via LeMat-Bulk. Energies are from PBE-GGA.

Cell: 6.104 6.104 7.365 Å, 90.00 90.00 120.00°
Positions (direct):
Rb 0.000 0.000 0.000
Rb 0.333 0.667 0.752
Rb 0.667 0.333 0.248
Dy 0.000 0.000 0.500
Al 0.333 0.667 0.308
Al 0.667 0.333 0.692
O 0.172 0.343 0.307
O 0.172 0.828 0.307
O 0.343 0.172 0.693
O 0.657 0.828 0.307
O 0.828 0.172 0.693
O 0.828 0.657 0.693


(5)
Here is DyAl2SbO8 after structural relaxation from Alexandria via LeMat-Bulk. Energies are from PBE-GGA.

Cell: 5.758 5.758 5.758 Å, 108.35 108.35 111.74°
Positions (direct):
Dy 0.000 0.000 0.000
Al 0.500 0.500 0.000
Al 0.750 0.250 0.500
Sb 0.250 0.750 0.500
O 0.318 0.118 0.801
O 0.318 0.517 0.199
O 0.375 0.050 0.325
O 0.483 0.682 0.801
O 0.724 0.050 0.675
O 0.882 0.682 0.199
O 0.950 0.276 0.325
O 0.950 0.625 0.675


(6)
Here is Dy3Sc2Al3O12 after structural relaxation from Alexandria via LeMat-Bulk. Energies are from PBE-GGA.

Cell: 10.761 10.761 10.761 Å, 109.47 109.47 109.47°
Positions (direct):
Dy 0.125 0.250 0.375
Dy 0.125 0.375 0.750
Dy 0.250 0.375 0.125
Dy 0.250 0.875 0.625
Dy 0.375 0.125 0.250
Dy 0.375 0.750 0.125
Dy 0.625 0.250 0.875
Dy 0.625 0.875 0.750
Dy 0.750 0.125 0.375
Dy 0.750 0.625 0.875
Dy 0.875 0.625 0.250
Dy 0.875 0.750 0.625
Sc 0.000 0.000 0.000
Sc 0.000 0.000 0.500
Sc 0.000 0.500 0.000
Sc 0.000 0.500 0.500
Sc 0.500 0.000 0.000
Sc 0.500 0.000 0.500
Sc 0.500 0.500 0.000
Sc 0.500 0.500 0.500
Al 0.125 0.750 0.875
Al 0.125 0.875 0.250
Al 0.250 0.125 0.875
Al 0.250 0.625 0.375
Al 0.375 0.250 0.625
Al 0.375 0.625 0.750
Al 0.625 0.375 0.250
Al 0.625 0.750 0.375
Al 0.750 0.375 0.625
Al 0.750 0.875 0.125
Al 0.875 0.125 0.750
Al 0.875 0.250 0.125
O 0.026 0.214 0.126
O 0.026 0.312 0.900
O 0.088 0.714 0.688
O 0.088 0.874 0.400
O 0.100 0.626 0.412
O 0.100 0.974 0.688
O 0.126 0.026 0.214
O 0.126 0.600 0.912
O 0.188 0.214 0.588
O 0.188 0.474 0.600
O 0.214 0.126 0.026
O 0.214 0.588 0.188
O 0.286 0.312 0.912
O 0.286 0.474 0.374
O 0.312 0.900 0.026
O 0.312 0.912 0.286
O 0.374 0.286 0.474
O 0.374 0.588 0.900
O 0.400 0.088 0.874
O 0.400 0.812 0.526
O 0.412 0.100 0.626
O 0.412 0.812 0.786
O 0.474 0.374 0.286
O 0.474 0.600 0.188
O 0.526 0.400 0.812
O 0.526 0.626 0.714
O 0.588 0.188 0.214
O 0.588 0.900 0.374
O 0.600 0.188 0.474
O 0.600 0.912 0.126
O 0.626 0.412 0.100
O 0.626 0.714 0.526
O 0.688 0.088 0.714
O 0.688 0.100 0.974
O 0.714 0.526 0.626
O 0.714 0.688 0.088
O 0.786 0.412 0.812
O 0.786 0.874 0.974
O 0.812 0.526 0.400
O 0.812 0.786 0.412
O 0.874 0.400 0.088
O 0.874 0.974 0.786
O 0.900 0.026 0.312
O 0.900 0.374 0.588
O 0.912 0.126 0.600
O 0.912 0.286 0.312
O 0.974 0.688 0.100
O 0.974 0.786 0.874


(7)
Here is DySc2AlO after structural relaxation from Alexandria via LeMat-Bulk. Energies are from PBE-GGA.

Cell: 4.427 4.427 4.696 Å, 90.00 90.00 90.00°
Positions (direct):
Dy 0.000 0.000 0.000
Sc 0.000 0.500 0.500
Sc 0.500 0.000 0.500
Al 0.500 0.500 0.000
O 0.000 0.000 0.500


(8)
Here is Dy2ScAlO6 after structural relaxation from Alexandria via LeMat-Bulk. Energies are from PBE-GGA.

Cell: 5.329 5.589 9.336 Å, 90.00 124.46 90.00°
Positions (direct):
Dy 0.233 0.062 0.250
Dy 0.233 0.438 0.750
Dy 0.767 0.562 0.250
Dy 0.767 0.938 0.750
Sc 0.500 0.000 0.000
Sc 0.500 0.500 0.500
Al 0.000 0.000 0.500
Al 0.000 0.500 0.000
O 0.126 0.208 0.940
O 0.126 0.292 0.440
O 0.236 0.688 0.945
O 0.236 0.812 0.445
O 0.349 0.040 0.738
O 0.349 0.460 0.238
O 0.651 0.540 0.762
O 0.651 0.960 0.262
O 0.764 0.188 0.555
O 0.764 0.312 0.055
O 0.874 0.708 0.560
O 0.874 0.792 0.060


(9)
Here is Sm12DyAl4O3 after structural relaxation from Alexandria via LeMat-Bulk. Energies are from PBE-GGA.

Cell: 8.727 8.727 8.727 Å, 109.47 109.47 109.47°
Positions (direct):
Sm 0.000 0.274 0.274
Sm 0.000 0.726 0.726
Sm 0.250 0.500 0.750
Sm 0.250 0.750 0.500
Sm 0.274 0.000 0.274
Sm 0.274 0.274 0.000
Sm 0.500 0.250 0.750
Sm 0.500 0.750 0.250
Sm 0.726 0.000 0.726
Sm 0.726 0.726 0.000
Sm 0.750 0.250 0.500
Sm 0.750 0.500 0.250
Dy 0.000 0.000 0.000
Al 0.000 0.000 0.500
Al 0.000 0.500 0.000
Al 0.500 0.000 0.000
Al 0.500 0.500 0.500
O 0.000 0.500 0.500
O 0.500 0.000 0.500
O 0.500 0.500 0.000


(10)
Here is SmDy2AlO after structural relaxation from Alexandria via LeMat-Bulk. Energies are from PBE-GGA.

Cell: 4.719 4.719 4.872 Å, 90.00 90.00 90.00°
Positions (direct):
Sm 0.000 0.000 0.000
Dy 0.000 0.500 0.500
Dy 0.500 0.000 0.500
Al 0.500 0.500 0.000
O 0.000 0.000 0.500


(11)
Here is Sm2DyAlO after structural relaxation from Alexandria via LeMat-Bulk. Energies are from PBE-GGA.

Cell: 4.869 4.869 4.706 Å, 90.00 90.00 90.00°
Positions (direct):
Sm 0.000 0.500 0.000
Sm 0.500 0.000 0.000
Dy 0.000 0.000 0.500
Al 0.500 0.500 0.500
O 0.000 0.000 0.000


(12)
Here is DyAl2TeO8 after structural relaxation from Alexandria via LeMat-Bulk. Energies are from PBE-GGA.

Cell: 5.718 5.718 5.718 Å, 108.15 108.15 112.14°
Positions (direct):
Dy 0.000 0.000 0.000
Al 0.500 0.500 0.000
Al 0.750 0.250 0.500
Te 0.250 0.750 0.500
O 0.316 0.116 0.800
O 0.316 0.516 0.200
O 0.370 0.043 0.327
O 0.484 0.684 0.800
O 0.716 0.043 0.673
O 0.884 0.684 0.200
O 0.957 0.284 0.327
O 0.957 0.630 0.673


Computed total magnetic moment, in the same sequence as the records: 0.0000; 0.0000; 0.2222; 0.0000; 0.1705; 0.0000; 0.0000; 0.0000; 0.0000; 0.0000; 0.0000; 0.0841 μB/atom.
Computed formation energy (no corrections), in the same sequence as the records: -31.3; -15.6; -66.8; -54.7; -47.4; -78.6; -32.5; -79.0; -15.6; -31.4; -31.2; -46.2 kcal/mol of atoms.